No. 1
{"formula": "LiCa3N", "functional": "GGA-PBE", "state": "optimized geometry", "lattice_angstrom": [[-5.033, 0.061, 0.947], [-3.589, -1.626, -5.119], [-2.765, -9.120, -0.257]], "species": ["Li", "Li", "Ca", "Ca", "Ca", "Ca", "Ca", "Ca", "N", "N"], "fractional_positions": [[0.398, 0.769, 0.435], [0.602, 0.231, 0.565], [0.850, 0.624, 0.676], [0.150, 0.376, 0.324], [0.654, 0.632, 0.059], [0.346, 0.368, 0.941], [0.920, 0.986, 0.174], [0.080, 0.014, 0.826], [0.134, 0.665, 0.068], [0.866, 0.335, 0.932]], "crystal_system": "monoclinic"}

=====

No. 2
{"formula": "Nb2CuRuS", "functional": "GGA-PBE", "state": "optimized geometry", "lattice_angstrom": [[-3.700, 0.703, -3.004], [0.725, -3.443, -1.699], [-2.953, -2.166, 3.130]], "species": ["Ru", "Nb", "Nb", "S", "Cu"], "fractional_positions": [[0.500, 0.500, 0.500], [0.000, 0.000, 0.500], [0.500, 0.000, 0.000], [0.000, 0.500, 0.000], [0.000, 0.000, 0.000]], "crystal_system": "tetragonal"}

=====

No. 3
{"formula": "PaBe2Ir2", "functional": "GGA-PBE", "state": "optimized geometry", "lattice_angstrom": [[-1.599, 3.458, 1.563], [-3.039, -2.264, -1.610], [-1.221, -4.409, 8.507]], "species": ["Pa", "Pa", "Be", "Be", "Be", "Be", "Ir", "Ir", "Ir", "Ir"], "fractional_positions": [[0.750, 0.750, 0.250], [0.250, 0.250, 0.750], [0.250, 0.750, 0.000], [0.750, 0.250, 0.500], [0.250, 0.750, 0.500], [0.750, 0.250, 0.000], [0.750, 0.750, 0.611], [0.250, 0.250, 0.111], [0.750, 0.750, 0.889], [0.250, 0.250, 0.389]], "delta_e_f_ev_per_fu": -2.839, "crystal_system": "orthorhombic", "e_above_lowest_polymorph_ev_per_atom": 0.114}

=====

No. 4
{"formula": "LaHfTeI2", "functional": "GGA-PBE", "state": "optimized geometry", "lattice_angstrom": [[6.187, 0.000, 0.000], [0.000, 6.187, 0.000], [0.000, 0.000, 6.231]], "species": ["I", "I", "Te", "Hf", "La"], "fractional_positions": [[0.000, 0.500, 0.000], [0.500, 0.000, 0.000], [0.000, 0.000, 0.500], [0.500, 0.500, 0.500], [0.000, 0.000, 0.000]], "crystal_system": "tetragonal", "e_above_lowest_polymorph_ev_per_atom": 0.437}

=====

No. 5
{"formula": "LiAcDySi", "functional": "GGA-PBE", "state": "optimized geometry", "lattice_angstrom": [[-4.733, -1.016, -2.035], [-0.427, -3.024, -4.271], [-2.046, -4.820, 0.390]], "species": ["Ac", "Li", "Si", "Dy"], "fractional_positions": [[0.500, 0.500, 0.500], [0.250, 0.250, 0.250], [0.750, 0.750, 0.750], [0.000, 0.000, 0.000]], "crystal_system": "cubic"}

=====

No. 6
{"formula": "La2NbRe", "functional": "GGA-PBE", "state": "optimized geometry", "lattice_angstrom": [[8.593, 0.000, 0.000], [0.000, 8.593, 0.000], [4.297, 4.297, 2.827]], "species": ["Re", "Re", "Nb", "Nb", "La", "La", "La", "La"], "fractional_positions": [[0.000, 0.000, 0.000], [0.750, 0.250, 0.500], [0.500, 0.500, 0.000], [0.250, 0.750, 0.500], [0.685, 0.125, 0.250], [0.065, 0.625, 0.250], [0.375, 0.315, 0.750], [0.875, 0.935, 0.750]], "delta_e_f_ev_per_fu": 3.576, "crystal_system": "tetragonal", "e_above_lowest_polymorph_ev_per_atom": 0.191}

=====

No. 7
{"formula": "K2IrN2", "functional": "GGA-PBE", "state": "optimized geometry", "lattice_angstrom": [[-1.650, 2.386, 6.750], [1.650, -2.386, 6.750], [1.650, 2.386, -6.750]], "species": ["K", "K", "Ir", "N", "N"], "fractional_positions": [[0.349, 0.349, 0.000], [0.651, 0.651, 0.000], [0.000, 0.000, 0.000], [0.867, 0.867, 0.000], [0.133, 0.133, 0.000]], "crystal_system": "orthorhombic"}

=====

No. 8
{"formula": "RuPt3Rh3", "functional": "GGA-PBE", "state": "optimized geometry", "lattice_angstrom": [[1.248, 1.881, 5.581], [-1.005, -4.031, 3.222], [8.230, 0.178, 4.349]], "species": ["Ru", "Ru", "Pt", "Pt", "Pt", "Pt", "Pt", "Pt", "Rh", "Rh", "Rh", "Rh", "Rh", "Rh"], "fractional_positions": [[0.256, 0.298, 0.383], [0.744, 0.702, 0.617], [0.448, 0.257, 0.033], [0.314, 0.848, 0.577], [0.911, 0.569, 0.298], [0.089, 0.431, 0.702], [0.686, 0.152, 0.423], [0.552, 0.743, 0.967], [0.740, 0.426, 0.130], [0.211, 0.837, 0.332], [0.242, 0.072, 0.873], [0.758, 0.928, 0.127], [0.789, 0.163, 0.668], [0.260, 0.574, 0.870]], "delta_e_f_ev_per_fu": 1.539, "crystal_system": "triclinic", "e_above_lowest_polymorph_ev_per_atom": 0.002}

=====

No. 9
{"formula": "MnGeAu14", "functional": "GGA-PBE", "state": "optimized geometry", "lattice_angstrom": [[-1.684, 5.171, -2.230], [-1.229, -1.250, 5.610], [8.305, 3.860, 2.679]], "species": ["Mn", "Ge", "Au", "Au", "Au", "Au", "Au", "Au", "Au", "Au", "Au", "Au", "Au", "Au", "Au", "Au"], "fractional_positions": [[0.046, 0.954, 0.500], [0.551, 0.449, 0.500], [0.203, 0.797, 0.000], [0.704, 0.296, 0.000], [0.052, 0.452, 0.500], [0.204, 0.294, 0.000], [0.548, 0.948, 0.500], [0.706, 0.796, 0.000], [0.371, 0.126, 0.743], [0.371, 0.126, 0.257], [0.874, 0.629, 0.743], [0.874, 0.629, 0.257], [0.373, 0.627, 0.753], [0.373, 0.627, 0.247], [0.876, 0.124, 0.746], [0.876, 0.124, 0.254]], "delta_e_f_ev_per_fu": 0.429, "crystal_system": "orthorhombic"}

=====

No. 10
{"formula": "Co2SbOs", "functional": "GGA-PBE", "state": "optimized geometry", "lattice_angstrom": [[4.228, 0.000, 0.000], [0.000, 2.825, -0.014], [0.000, 0.022, 4.633]], "species": ["Co", "Co", "Os", "Sb"], "fractional_positions": [[0.000, 0.125, 0.977], [0.500, 0.125, 0.286], [0.000, 0.625, 0.433], [0.500, 0.625, 0.805]], "crystal_system": "orthorhombic", "e_above_lowest_polymorph_ev_per_atom": 0.023}

=====

No. 11
{"formula": "BeGaSbTe2", "functional": "GGA-PBE", "state": "optimized geometry", "lattice_angstrom": [[5.267, 0.000, 0.000], [0.000, 5.267, 0.000], [0.000, 0.000, 4.704]], "species": ["Sb", "Te", "Te", "Ga", "Be"], "fractional_positions": [[0.000, 0.000, 0.500], [0.000, 0.500, 0.000], [0.500, 0.000, 0.000], [0.500, 0.500, 0.500], [0.000, 0.000, 0.000]], "crystal_system": "tetragonal", "e_above_lowest_polymorph_ev_per_atom": 0.000}

=====

No. 12
{"formula": "PmHg2Pb2", "functional": "GGA-PBE", "state": "optimized geometry", "lattice_angstrom": [[-1.609, -1.191, 3.885], [-3.818, -0.987, -1.884], [5.161, -6.105, -2.193]], "species": ["Pm", "Hg", "Hg", "Pb", "Pb"], "fractional_positions": [[0.000, 0.000, 0.000], [0.750, 0.250, 0.500], [0.250, 0.750, 0.500], [0.399, 0.399, 0.798], [0.601, 0.601, 0.202]], "delta_e_f_ev_per_fu": -0.245, "crystal_system": "tetragonal"}

=====

No. 13
{"formula": "VGe2Te8", "functional": "GGA-PBE", "state": "optimized geometry", "lattice_angstrom": [[-5.558, -2.586, 1.146], [1.767, -7.044, -2.763], [2.414, -4.674, 5.718]], "species": ["V", "Ge", "Ge", "Te", "Te", "Te", "Te", "Te", "Te", "Te", "Te"], "fractional_positions": [[0.000, 0.000, 0.000], [0.594, 0.813, 0.813], [0.406, 0.187, 0.187], [0.280, 0.281, 0.839], [0.720, 0.161, 0.719], [0.173, 0.800, 0.800], [0.827, 0.200, 0.200], [0.280, 0.839, 0.281], [0.720, 0.719, 0.161], [0.807, 0.626, 0.626], [0.193, 0.374, 0.374]], "crystal_system": "monoclinic"}

=====

No. 14
{"formula": "La4In2Ag3", "functional": "GGA-PBE", "state": "optimized geometry", "lattice_angstrom": [[-2.785, 1.579, -4.029], [-0.274, -3.753, -4.567], [-6.836, -6.195, 2.298]], "species": ["La", "La", "La", "La", "In", "In", "Ag", "Ag", "Ag"], "fractional_positions": [[0.643, 0.714, 0.899], [0.062, 0.877, 0.355], [0.938, 0.123, 0.645], [0.357, 0.286, 0.101], [0.272, 0.457, 0.728], [0.728, 0.543, 0.272], [0.364, 0.271, 0.437], [0.000, 0.000, 0.000], [0.636, 0.729, 0.563]], "delta_e_f_ev_per_fu": -3.177, "crystal_system": "monoclinic"}

=====

No. 15
{"formula": "BaP2", "functional": "GGA-PBE", "state": "optimized geometry", "lattice_angstrom": [[0.000, 4.093, 4.093], [4.093, 0.000, 4.093], [4.093, 4.093, 0.000]], "species": ["Ba", "Ba", "P", "P", "P", "P"], "fractional_positions": [[0.500, 0.500, 0.500], [0.750, 0.750, 0.750], [0.625, 0.125, 0.125], [0.125, 0.625, 0.125], [0.125, 0.125, 0.625], [0.125, 0.125, 0.125]], "delta_e_f_ev_per_fu": -0.817, "crystal_system": "cubic"}

=====

No. 16
{"formula": "ZrInGe2Br", "functional": "GGA-PBE", "state": "optimized geometry", "lattice_angstrom": [[5.232, 0.000, 0.000], [0.000, 5.011, 0.000], [0.000, 0.000, 5.232]], "species": ["Ge", "Ge", "Br", "Zr", "In"], "fractional_positions": [[0.000, 0.000, 0.500], [0.500, 0.000, 0.000], [0.000, 0.000, 0.000], [0.000, 0.500, 0.000], [0.500, 0.500, 0.500]], "crystal_system": "tetragonal"}

=====

No. 17
{"formula": "AlSb2Ir", "functional": "GGA-PBE", "state": "optimized geometry", "lattice_angstrom": [[-2.850, 4.868, -4.084], [-5.246, 4.543, 0.582], [5.874, -2.913, 2.348]], "species": ["Sb", "Sb", "Ir", "Al"], "fractional_positions": [[0.082, 0.082, 0.000], [0.418, 0.418, 0.000], [0.250, 0.750, 0.500], [0.750, 0.250, 0.500]], "crystal_system": "orthorhombic"}

=====

No. 18
{"formula": "Rb2ReGeBr6", "functional": "GGA-PBE", "state": "optimized geometry", "lattice_angstrom": [[7.725, 0.000, 0.000], [0.000, 7.725, 0.000], [3.863, 3.863, 5.476]], "species": ["Re", "Ge", "Br", "Br", "Br", "Br", "Br", "Br", "Rb", "Rb"], "fractional_positions": [[0.000, 0.000, 0.000], [0.500, 0.500, 0.000], [0.239, 0.239, 0.522], [0.761, 0.761, 0.478], [0.239, 0.239, 0.000], [0.761, 0.761, 0.000], [0.761, 0.239, 0.000], [0.239, 0.761, 0.000], [0.750, 0.250, 0.500], [0.250, 0.750, 0.500]], "crystal_system": "tetragonal"}

=====

No. 19
{"formula": "Ce3Tl2In", "functional": "GGA-PBE", "state": "optimized geometry", "lattice_angstrom": [[3.444, 0.000, 0.000], [0.000, 3.444, 0.000], [0.000, 0.000, 14.177]], "species": ["Ce", "Ce", "Ce", "Tl", "Tl", "In"], "fractional_positions": [[0.000, 0.000, 0.000], [0.000, 0.000, 0.665], [0.000, 0.000, 0.335], [0.500, 0.500, 0.833], [0.500, 0.500, 0.167], [0.500, 0.500, 0.500]], "delta_e_f_ev_per_fu": -1.695, "crystal_system": "tetragonal"}

=====

No. 20
{"formula": "NdSb2Rh", "functional": "GGA-PBE", "state": "optimized geometry", "lattice_angstrom": [[-1.032, 4.237, -0.730], [-4.280, -0.938, 0.592], [3.592, 0.265, 9.863]], "species": ["Nd", "Nd", "Sb", "Sb", "Sb", "Sb", "Rh", "Rh"], "fractional_positions": [[0.126, 0.126, 0.252], [0.874, 0.874, 0.748], [0.324, 0.324, 0.649], [0.676, 0.676, 0.351], [0.000, 0.500, 0.000], [0.500, 0.000, 0.000], [0.250, 0.750, 0.500], [0.750, 0.250, 0.500]], "crystal_system": "tetragonal"}

=====

No. 21
{"formula": "Ac2PaZnPt6", "functional": "GGA-PBE", "state": "optimized geometry", "lattice_angstrom": [[8.827, -0.079, 2.079], [0.043, 5.806, 0.038], [5.968, 2.818, 6.219]], "species": ["Ac", "Ac", "Pa", "Zn", "Pt", "Pt", "Pt", "Pt", "Pt", "Pt"], "fractional_positions": [[0.293, 0.707, 0.586], [0.707, 0.293, 0.414], [0.500, 0.500, 0.000], [0.000, 0.000, 0.000], [0.244, 0.755, 0.003], [0.756, 0.758, 0.997], [0.242, 0.245, 0.511], [0.756, 0.245, 0.997], [0.244, 0.242, 0.003], [0.758, 0.755, 0.489]], "delta_e_f_ev_per_fu": -8.106, "crystal_system": "trigonal"}

=====

No. 22
{"formula": "BaLa2Rh", "functional": "GGA-PBE", "state": "optimized geometry", "lattice_angstrom": [[5.436, 3.382, 0.004], [-5.436, 3.382, 0.004], [0.000, 1.654, 3.294]], "species": ["Ba", "La", "La", "Rh"], "fractional_positions": [[0.000, 0.000, 0.500], [0.500, 0.000, 0.000], [0.000, 0.500, 0.000], [0.500, 0.500, 0.500]], "delta_e_f_ev_per_fu": 0.963, "crystal_system": "monoclinic", "e_above_lowest_polymorph_ev_per_atom": 0.656}

=====

No. 23
{"formula": "VCuSe2", "functional": "GGA-PBE", "state": "optimized geometry", "lattice_angstrom": [[-3.068, 1.280, 3.077], [-0.060, 4.275, 1.496], [-3.382, 2.768, -1.189]], "species": ["Se", "Se", "Cu", "V"], "fractional_positions": [[0.250, 0.250, 0.250], [0.750, 0.750, 0.750], [0.500, 0.500, 0.500], [0.000, 0.000, 0.000]], "crystal_system": "cubic"}

=====

No. 24
{"formula": "ZrMn2VAs", "functional": "GGA-PBE", "state": "optimized geometry", "lattice_angstrom": [[-0.828, -0.494, 4.262], [2.516, -3.910, 0.036], [3.580, 2.312, 0.964]], "species": ["As", "Mn", "Mn", "Zr", "V"], "fractional_positions": [[0.000, 0.500, 0.000], [0.000, 0.000, 0.500], [0.500, 0.000, 0.000], [0.500, 0.500, 0.500], [0.000, 0.000, 0.000]], "delta_e_f_ev_per_fu": 2.286, "crystal_system": "tetragonal"}

=====

No. 25
{"formula": "HfPaN3", "functional": "GGA-PBE", "state": "optimized geometry", "lattice_angstrom": [[-3.012, -3.688, 2.769], [-2.963, -3.750, -2.739], [2.207, -5.852, 0.086]], "species": ["Hf", "Hf", "Pa", "Pa", "N", "N", "N", "N", "N", "N"], "fractional_positions": [[0.150, 0.150, 0.551], [0.850, 0.850, 0.449], [0.358, 0.358, 0.927], [0.642, 0.642, 0.073], [0.228, 0.963, 0.253], [0.963, 0.555, 0.253], [0.555, 0.228, 0.253], [0.772, 0.445, 0.747], [0.037, 0.772, 0.747], [0.445, 0.037, 0.747]], "crystal_system": "trigonal"}

=====

Asked for total DFT energy (no corrections) across the records above, the calculation gives -3.667; -6.316; -7.502; -4.125; -4.236; -7.199; -5.248; -6.845; -3.703; -7.082; -3.116; -2.603; -3.955; -4.102; -4.520; -3.694; -5.362; -3.556; -4.495; -5.883; -6.334; -4.542; -5.091; -7.674; -10.240 eV per atom in order.
Asked for calculated volume across the records above, the calculation gives 26.042; 18.137; 15.498; 47.704; 25.594; 26.096; 21.264; 15.691; 17.965; 13.836; 26.104; 29.383; 31.732; 27.736; 22.852; 27.437; 21.987; 32.680; 28.032; 24.500; 24.597; 30.261; 16.429; 17.754; 14.153 Å³/atom in order.